#a
Entry from the Alexandria database: a crystal of CaMnMo2 relaxed with PBEsol (meta-GGA SCAN).

a b c (Å): 3.1685 3.1685 7.2708
angles (deg): 90.00 90.00 90.00
Space group P4mm (No. 99)
Asymmetric unit:
Ca 0.0000 0.0000 0.0000 x1
Mn 0.5000 0.5000 0.3139 x1
Mo 0.0000 0.0000 0.5041 x1
Mo 0.5000 0.5000 0.6906 x1

Summary:
Crystal system: tetragonal
DOS at the Fermi energy (states/eV per cell): 3.02

#b
Entry from the Alexandria database: a crystal of CaMnMo2 relaxed with PBEsol (meta-GGA SCAN).

a b c (Å): 3.0632 3.0632 26.7325
angles (deg): 90.00 90.00 120.00
Space group R3m (No. 160, hexagonal axes)
Asymmetric unit:
Ca 0.0000 0.0000 0.0000 x3
Mn 0.0000 0.0000 0.2365 x3
Mo 0.0000 0.0000 0.4991 x3
Mo 0.0000 0.0000 0.7646 x3

Summary:
Crystal system: trigonal
DOS at the Fermi energy (states/eV per cell): 9.83

In terms of stability, #a leads; the second structure lies 22.8 kJ/mol of atoms higher.

#a
Entry from the Alexandria database: a crystal of Ca4MnN4 relaxed with PBEsol (meta-GGA SCAN).

a b c (Å): 5.8355 5.9978 8.4106
angles (deg): 72.34 80.55 68.98
Space group P-1 (No. 2)
Asymmetric unit:
Ca 0.2086 0.4359 0.3408 x2
Ca 0.2247 0.9581 0.1228 x2
Ca 0.2708 0.5074 0.9322 x2
Ca 0.2754 0.7934 0.5329 x2
Mn 0.2745 0.1534 0.7446 x2
N 0.0321 0.2886 0.8905 x2
N 0.0720 0.1783 0.5910 x2
N 0.4589 0.3582 0.6918 x2
N 0.4694 0.8401 0.8362 x2

Summary:
Crystal system: triclinic
DOS at the Fermi energy (states/eV per cell): 4.00

#b
Entry from the Alexandria database: a crystal of Ca4MnN4 relaxed with PBEsol (meta-GGA SCAN).

a b c (Å): 10.8842 4.8727 10.7707
angles (deg): 90.00 90.00 90.00
Space group Pnma (No. 62)
Asymmetric unit:
Ca 0.0586 0.2500 0.1133 x4
Ca 0.0951 0.7500 0.3178 x4
Ca 0.1318 0.7500 0.6599 x4
Ca 0.2329 0.2500 0.4770 x4
Mn 0.1301 0.2500 0.8516 x4
N 0.0172 0.7500 0.1048 x4
N 0.0761 0.2500 0.3317 x4
N 0.1734 0.2500 0.7014 x4
N 0.2364 0.2500 0.9743 x4

Summary:
Crystal system: orthorhombic
DOS at the Fermi energy (states/eV per cell): 1.00

In terms of stability, #b leads; the second structure lies 2.1 kJ/mol of atoms higher.

#a
Entry from the Alexandria database: a crystal of Ca2MnO4 relaxed with PBEsol (meta-GGA SCAN).

a b c (Å): 3.6912 3.6912 11.7095
angles (deg): 90.00 90.00 90.00
Space group I4/mmm (No. 139)
Asymmetric unit:
Ca 0.0000 0.0000 0.1445 x4
Mn 0.0000 0.0000 0.5000 x2
O 0.0000 0.0000 0.3372 x4
O 0.0000 0.5000 0.0000 x4

Summary:
Crystal system: tetragonal

#b
Entry from the Alexandria database: a crystal of Ca2MnO4 relaxed with PBEsol (meta-GGA SCAN).

a b c (Å): 5.1458 5.1458 24.0923
angles (deg): 90.00 90.00 90.00
Space group I4_1/acd (No. 142, origin choice 2)
Asymmetric unit:
Ca 0.0000 0.2500 0.0504 x16
Mn 0.0000 0.2500 0.3750 x8
O 0.0000 0.2500 0.2948 x16
O 0.1986 0.0514 0.1250 x16

Summary:
Crystal system: tetragonal

In terms of stability, #b leads; the second structure lies 0.8 kJ/mol of atoms higher.

#a
Entry from the Alexandria database: a crystal of Ca2TiMnO6 relaxed with PBEsol (meta-GGA SCAN).

a b c (Å): 5.2860 5.3455 9.1678
angles (deg): 90.00 125.10 90.00
Space group P2_1/c (No. 14)
Asymmetric unit:
Ca 0.2415 0.0395 0.2494 x4
Ti 0.5000 0.0000 0.0000 x2
Mn 0.0000 0.0000 0.5000 x2
O 0.1708 0.2161 0.9635 x4
O 0.2468 0.7088 0.9630 x4
O 0.3161 0.0140 0.7459 x4

Summary:
Crystal system: monoclinic
DOS at the Fermi energy (states/eV per cell): 0.00

#b
Entry from the Alexandria database: a crystal of Ca2TiMnO6 relaxed with PBEsol (meta-GGA SCAN).

a b c (Å): 5.2719 5.2719 7.6349
angles (deg): 90.00 90.00 90.00
Space group I4/m (No. 87)
Asymmetric unit:
Ca 0.0000 0.5000 0.2500 x4
Ti 0.0000 0.0000 0.0000 x2
Mn 0.0000 0.0000 0.5000 x2
O 0.0000 0.0000 0.2541 x4
O 0.1917 0.3001 0.5000 x8

Summary:
Crystal system: tetragonal
DOS at the Fermi energy (states/eV per cell): 0.00

In terms of stability, #a leads; the second structure lies 1.1 kJ/mol of atoms higher.